Compound: Mn2AlHOs
Source: the Alexandria database
Functional: PBE
Structure: optimized geometry

Results
Distance to the lowest polymorph of the same formula ... 0.0541 eV per atom
Magnetic moment ... 4.67 μB/cell
N(E_F) ... 2.92 states/eV/cell

a b c (Å): 3.6640 3.6640 4.0503
angles (deg): 90.00 90.00 90.00
Sites, in units of the cell vectors:
Mn: 0.0000 0.5000 0.0000
Mn: 0.5000 0.0000 0.0000
Al: 0.0000 0.0000 0.5000
H: 0.0000 0.0000 0.0000
Os: 0.5000 0.5000 0.5000

Compound: Zr2V3Ge4
Source: the Alexandria database
Functional: PBE
Structure: optimized geometry

Results
Distance to the lowest polymorph of the same formula ... 0.0000 eV per atom
Magnetic moment ... 0.00 μB/cell
N(E_F) ... 8.80 states/eV/cell

a b c (Å): 6.7767 6.7764 6.6844
angles (deg): 90.00 109.81 90.00
Sites, in units of the cell vectors:
Zr: 0.1880 0.1712 0.0535
Zr: 0.1880 0.3288 0.5535
Zr: 0.8120 0.6712 0.4465
Zr: 0.8120 0.8288 0.9465
V: 0.2510 0.6647 0.2463
V: 0.2510 0.8353 0.7463
V: 0.5000 0.0000 0.5000
V: 0.5000 0.5000 0.0000
V: 0.7490 0.1647 0.2537
V: 0.7490 0.3353 0.7537
Ge: 0.0855 0.5441 0.8525
Ge: 0.0855 0.9559 0.3525
Ge: 0.5001 0.1346 0.8641
Ge: 0.5001 0.3654 0.3641
Ge: 0.4999 0.6346 0.6359
Ge: 0.4999 0.8654 0.1359
Ge: 0.9145 0.0441 0.6475
Ge: 0.9145 0.4559 0.1475

Compound: CePrTmAg
Source: the Alexandria database
Functional: PBE
Structure: optimized geometry

Results
VASP energy ... -4.370 eV/atom
Magnetic moment ... 2.85 μB/cell
N(E_F) ... 7.90 states/eV/cell

a b c (Å): 5.3547 5.3547 5.3547
angles (deg): 60.00 60.00 60.00
Sites, in units of the cell vectors:
Ce: 0.0000 0.0000 0.0000
Pr: 0.2500 0.2500 0.2500
Tm: 0.7500 0.7500 0.7500
Ag: 0.5000 0.5000 0.5000

Compound: La2MgGa3Au12
Source: the Alexandria database
Functional: PBE
Structure: optimized geometry

Results
VASP energy ... -3.520 eV/atom
Magnetic moment ... 0.00 μB/cell
N(E_F) ... 8.71 states/eV/cell

a b c (Å): 8.2529 8.2529 8.2529
angles (deg): 63.60 63.60 63.60
Sites, in units of the cell vectors:
La: 0.1134 0.1134 0.1134
La: 0.8866 0.8866 0.8866
Mg: 0.5000 0.5000 0.5000
Ga: 0.0000 0.5000 0.5000
Ga: 0.5000 0.0000 0.5000
Ga: 0.5000 0.5000 0.0000
Au: 0.1238 0.6342 0.6342
Au: 0.1363 0.1363 0.6177
Au: 0.1363 0.6177 0.1363
Au: 0.3658 0.3658 0.8762
Au: 0.3658 0.8762 0.3658
Au: 0.3823 0.8637 0.8637
Au: 0.6177 0.1363 0.1363
Au: 0.6342 0.1238 0.6342
Au: 0.6342 0.6342 0.1238
Au: 0.8637 0.3823 0.8637
Au: 0.8637 0.8637 0.3823
Au: 0.8762 0.3658 0.3658